Record 1
A plane-wave DFT calculation with SCAN was carried out for a crystal of Sc3CuO relaxed with PBEsol.

The formation energy from raw total energies is -1417 meV per atom. As for the total magnetization: 0.000 μB per atom.

The space group is Pm-3m (No. 221) and the conventional cell measures 4.2860, 4.2860 and 4.2860 Å, with angles of 90.00, 90.00 and 90.00 degrees. The asymmetric unit holds Sc at (0.0000, 0.0000, 0.5000), Cu at (0.5000, 0.5000, 0.5000) and O at (0.0000, 0.0000, 0.0000).

Record 2
A plane-wave DFT calculation with SCAN was carried out for a crystal of Tl2GeP2 relaxed with PBEsol.

For the energy of formation from the pure elements, the calculation gives 0.51 eV per atom. As for the total magnetization: 0.000 μB per atom.

The space group is I4/mmm (No. 139) and the conventional cell measures 4.1008, 4.1008 and 14.0907 Å, with angles of 90.00, 90.00 and 90.00 degrees. The asymmetric unit holds Tl at (0.0000, 0.5000, 0.2500), Ge at (0.0000, 0.0000, 0.0000) and P at (0.0000, 0.0000, 0.4250).

Question: Look up the total magnetization of the first one.
Answer: 0.000 μB per atom

Repeat the second record exactly.
A plane-wave DFT calculation with SCAN was carried out for a crystal of Tl2GeP2 relaxed with PBEsol.

For the energy of formation from the pure elements, the calculation gives 0.51 eV per atom. As for the total magnetization: 0.000 μB per atom.

The space group is I4/mmm (No. 139) and the conventional cell measures 4.1008, 4.1008 and 14.0907 Å, with angles of 90.00, 90.00 and 90.00 degrees. The asymmetric unit holds Tl at (0.0000, 0.5000, 0.2500), Ge at (0.0000, 0.0000, 0.0000) and P at (0.0000, 0.0000, 0.4250).